PmTmAs: optimized geometry, PBE.

Properties
The calculation puts the total energy at -5.36 eV per atom.

```
data_PmTmAs
_cell_length_a 4.850
_cell_length_b 4.850
_cell_length_c 4.850
_cell_angle_alpha 60.00
_cell_angle_beta 60.00
_cell_angle_gamma 60.00
_space_group_name_H-M_alt 'P 1'
_space_group_IT_number 1
loop_
_space_group_symop_operation_xyz
'x,y,z'
loop_
_atom_site_label
_atom_site_fract_x
_atom_site_fract_y
_atom_site_fract_z
As1 0.000 0.000 0.000
Tm1 0.750 0.750 0.750
Pm1 0.250 0.250 0.250
```